# LiFe2Ru, relaxed, DFT PBE-GGA
# crystal system = cubic
# total magnetization = 3.391 μB per formula unit
# raw total energy = -27.11 eV/f.u.
# N(E_F) = 1.4860 states/eV per atom
# energy of formation = 0.25 eV per atom
data_LiFe2Ru
_space_group_name_H-M_alt 'F -4 3 m'
_space_group_IT_number 216
_space_group_name_Hall 'F -4 2 3'
_cell_length_a 5.7216
_cell_length_b 5.7216
_cell_length_c 5.7216
_cell_angle_alpha 90.00
_cell_angle_beta 90.00
_cell_angle_gamma 90.00
loop_
_atom_site_label
_atom_site_type_symbol
_atom_site_fract_x
_atom_site_fract_y
_atom_site_fract_z
_atom_site_occupancy
Li1 Li 0.0000 0.0000 0.0000 1
Fe1 Fe 0.0000 0.0000 0.5000 1
Fe2 Fe 0.2500 0.2500 0.7500 1
Ru1 Ru 0.2500 0.2500 0.2500 1


# Tm2Be4Co5, relaxed, DFT PBE-GGA
# crystal system = orthorhombic
# total magnetization = 1.844 μB per formula unit
# raw total energy = -61.88 eV/f.u.
# N(E_F) = 0.8709 states/eV per atom
# energy of formation = -0.23 eV per atom
data_Tm2Be4Co5
_space_group_name_H-M_alt 'F m m m'
_space_group_IT_number 69
_space_group_name_Hall '-F 2 2'
_cell_length_a 5.2286
_cell_length_b 8.5095
_cell_length_c 12.3743
_cell_angle_alpha 90.00
_cell_angle_beta 90.00
_cell_angle_gamma 90.00
loop_
_atom_site_label
_atom_site_type_symbol
_atom_site_fract_x
_atom_site_fract_y
_atom_site_fract_z
_atom_site_occupancy
Tm1 Tm 0.0000 0.0000 0.1369 1
Be1 Be 0.0000 0.1559 0.3679 1
Co1 Co 0.0000 0.0000 0.5000 1
Co2 Co 0.2500 0.2500 0.0000 1
Co3 Co 0.2500 0.2500 0.2500 1


# BaCd4, relaxed, DFT PBE-GGA
# crystal system = tetragonal
# total magnetization = 0.000 μB per formula unit
# raw total energy = -6.91 eV/f.u.
# N(E_F) = 0.7408 states/eV per atom
# energy of formation = -0.26 eV per atom
data_BaCd4
_space_group_name_H-M_alt 'I 4/m m m'
_space_group_IT_number 139
_space_group_name_Hall '-I 4 2'
_cell_length_a 4.7853
_cell_length_b 4.7853
_cell_length_c 12.8248
_cell_angle_alpha 90.00
_cell_angle_beta 90.00
_cell_angle_gamma 90.00
loop_
_atom_site_label
_atom_site_type_symbol
_atom_site_fract_x
_atom_site_fract_y
_atom_site_fract_z
_atom_site_occupancy
Ba1 Ba 0.0000 0.0000 0.0000 1
Cd1 Cd 0.0000 0.0000 0.3871 1
Cd2 Cd 0.0000 0.5000 0.2500 1


# CaPrYCd, relaxed, DFT PBE-GGA
# crystal system = cubic
# total magnetization = 0.000 μB per formula unit
# raw total energy = -14.33 eV/f.u.
# N(E_F) = 1.4062 states/eV per atom
# energy of formation = -0.04 eV per atom
data_CaPrYCd
_space_group_name_H-M_alt 'F -4 3 m'
_space_group_IT_number 216
_space_group_name_Hall 'F -4 2 3'
_cell_length_a 7.9194
_cell_length_b 7.9194
_cell_length_c 7.9194
_cell_angle_alpha 90.00
_cell_angle_beta 90.00
_cell_angle_gamma 90.00
loop_
_atom_site_label
_atom_site_type_symbol
_atom_site_fract_x
_atom_site_fract_y
_atom_site_fract_z
_atom_site_occupancy
Ca1 Ca 0.0000 0.0000 0.0000 1
Pr1 Pr 0.2500 0.2500 0.2500 1
Y1 Y 0.2500 0.2500 0.7500 1
Cd1 Cd 0.0000 0.0000 0.5000 1


# LaHg2Pt, relaxed, DFT PBE-GGA
# crystal system = orthorhombic
# total magnetization = 0.000 μB per formula unit
# raw total energy = -13.67 eV/f.u.
# N(E_F) = 0.5535 states/eV per atom
# energy of formation = -0.52 eV per atom
data_LaHg2Pt
_space_group_name_H-M_alt 'C m m m'
_space_group_IT_number 65
_space_group_name_Hall '-C 2 2'
_cell_length_a 5.7783
_cell_length_b 6.5191
_cell_length_c 5.3606
_cell_angle_alpha 90.00
_cell_angle_beta 90.00
_cell_angle_gamma 90.00
loop_
_atom_site_label
_atom_site_type_symbol
_atom_site_fract_x
_atom_site_fract_y
_atom_site_fract_z
_atom_site_occupancy
La1 La 0.0000 0.0000 0.0000 1
Hg1 Hg 0.0000 0.2827 0.5000 1
Pt1 Pt 0.0000 0.5000 0.0000 1


# NaTi2Ge2, relaxed, DFT PBE-GGA
# crystal system = tetragonal
# total magnetization = 1.094 μB per formula unit
# raw total energy = -25.22 eV/f.u.
# N(E_F) = 0.5963 states/eV per atom
# energy of formation = 0.22 eV per atom
data_NaTi2Ge2
_space_group_name_H-M_alt 'I 4/m m m'
_space_group_IT_number 139
_space_group_name_Hall '-I 4 2'
_cell_length_a 4.1204
_cell_length_b 4.1204
_cell_length_c 11.9163
_cell_angle_alpha 90.00
_cell_angle_beta 90.00
_cell_angle_gamma 90.00
loop_
_atom_site_label
_atom_site_type_symbol
_atom_site_fract_x
_atom_site_fract_y
_atom_site_fract_z
_atom_site_occupancy
Na1 Na 0.0000 0.0000 0.0000 1
Ti1 Ti 0.0000 0.0000 0.3913 1
Ge1 Ge 0.0000 0.5000 0.2500 1


# Al2PtPb, relaxed, DFT PBE-GGA
# crystal system = orthorhombic
# total magnetization = 0.000 μB per formula unit
# raw total energy = -17.12 eV/f.u.
# N(E_F) = 0.3432 states/eV per atom
# energy of formation = 0.03 eV per atom
data_Al2PtPb
_space_group_name_H-M_alt 'C m m m'
_space_group_IT_number 65
_space_group_name_Hall '-C 2 2'
_cell_length_a 5.8651
_cell_length_b 7.9925
_cell_length_c 3.2430
_cell_angle_alpha 90.00
_cell_angle_beta 90.00
_cell_angle_gamma 90.00
loop_
_atom_site_label
_atom_site_type_symbol
_atom_site_fract_x
_atom_site_fract_y
_atom_site_fract_z
_atom_site_occupancy
Al1 Al 0.2500 0.2500 0.0000 1
Pt1 Pt 0.0000 0.0000 0.5000 1
Pb1 Pb 0.0000 0.5000 0.5000 1


# K2LiTc, relaxed, DFT PBE-GGA
# crystal system = orthorhombic
# total magnetization = 0.957 μB per formula unit
# raw total energy = -9.94 eV/f.u.
# N(E_F) = 0.9125 states/eV per atom
# energy of formation = 1.13 eV per atom
data_K2LiTc
_space_group_name_H-M_alt 'P m m m'
_space_group_IT_number 47
_space_group_name_Hall '-P 2 2'
_cell_length_a 2.8297
_cell_length_b 5.7561
_cell_length_c 6.6661
_cell_angle_alpha 90.00
_cell_angle_beta 90.00
_cell_angle_gamma 90.00
loop_
_atom_site_label
_atom_site_type_symbol
_atom_site_fract_x
_atom_site_fract_y
_atom_site_fract_z
_atom_site_occupancy
K1 K 0.0000 0.0000 0.2340 1
Li1 Li 0.5000 0.5000 0.5000 1
Tc1 Tc 0.5000 0.5000 0.0000 1


Among the records above, which one has the highest N(E_F)? LiFe2Ru


What did the eighth record say?
# K2LiTc, relaxed, DFT PBE-GGA
# crystal system = orthorhombic
# total magnetization = 0.957 μB per formula unit
# raw total energy = -9.94 eV/f.u.
# N(E_F) = 0.9125 states/eV per atom
# energy of formation = 1.13 eV per atom
data_K2LiTc
_space_group_name_H-M_alt 'P m m m'
_space_group_IT_number 47
_space_group_name_Hall '-P 2 2'
_cell_length_a 2.8297
_cell_length_b 5.7561
_cell_length_c 6.6661
_cell_angle_alpha 90.00
_cell_angle_beta 90.00
_cell_angle_gamma 90.00
loop_
_atom_site_label
_atom_site_type_symbol
_atom_site_fract_x
_atom_site_fract_y
_atom_site_fract_z
_atom_site_occupancy
K1 K 0.0000 0.0000 0.2340 1
Li1 Li 0.5000 0.5000 0.5000 1
Tc1 Tc 0.5000 0.5000 0.0000 1


N(E_F) of number 7 (Al2PtPb)? 0.3432 states/eV per atom